A relaxed Pr8Ho3Pu crystal. Source: Alexandria via LeMat-Bulk, functional PBE-GGA.

Unit cell a=7.087 b=12.024 c=9.911 alpha=90.00 beta=104.24 gamma=90.00
Space group C2/m (No. 12)
Asymmetric unit:
Pr (0.067, 0.240, 0.335) [8 per cell]
Pr (0.179, 0.500, 0.176) [4 per cell]
Pr (0.183, 0.000, 0.161) [4 per cell]
Ho (0.000, 0.500, 0.500) [2 per cell]
Ho (0.250, 0.250, 0.000) [4 per cell]
Pu (0.000, 0.000, 0.500) [2 per cell]

## Properties
ΔH_f (0 K): 0.135 eV/atom
volume: 409.3 Å³/f.u.